1.
Compound: Co2HS2
Source: Alexandria
Functional: PBE-GGA
Structure: optimized geometry

Summary:
- crystal system = tetragonal
- energy relative to the lowest polymorph listed for this composition (meV/atom) = 377

Cell lengths 6.330, 6.330, 2.911 Å; angles 90.00, 90.00, 90.00 degrees
Space group P4/mbm (No. 127)
Inequivalent atoms, fractional coordinates:
Co  0.135  0.365  0.000 [4 per cell]
H  0.000  0.000  0.500 [2 per cell]
S  0.163  0.663  0.500 [4 per cell]

=====

2.
Compound: CoHS3
Source: Alexandria
Functional: PBE-GGA
Structure: optimized geometry

Summary:
- crystal system = cubic
- E (eV/cell) = -17.1

Cell lengths 3.975, 3.975, 3.975 Å; angles 90.00, 90.00, 90.00 degrees
Space group Pm-3m (No. 221)
Inequivalent atoms, fractional coordinates:
Co  0.000  0.000  0.000 [1 per cell]
H  0.500  0.500  0.500 [1 per cell]
S  0.000  0.500  0.500 [3 per cell]